Material: Sr2IrAu
Method: DFT, PBE
State: relaxed

## Properties
Calculated total energy (eV for the cell shown): -15.958
DOS at the Fermi energy (states/eV per atom): 0.44
Space-group type: No. 25
Calculated formation energy (meV per atom): -114

a b c (Å): 3.836 4.933 6.140
angles (deg): 90.00 90.00 90.00
Sites, in units of the cell vectors:
Sr (0.000, 0.000, 0.000)
Sr (0.500, 0.500, 0.496)
Ir (0.500, 0.500, 0.996)
Au (0.000, 0.000, 0.501)